MnF3 GGA+U optimized geometry; size of the total moment = 16.00 Bohr magnetons per cell; symmetry = Pnma (62); final energy = -5.715 eV/atom; crystal system = orthorhombic
1.0
5.596 0.000 0.000
0.000 7.514 0.000
0.000 0.000 5.282
Mn F
4 12
Cartesian
0.000 0.000 0.000
0.000 3.757 0.000
2.798 0.000 2.641
2.798 3.757 2.641
0.034 1.879 0.513
1.106 0.348 3.826
1.106 3.409 3.826
1.692 4.105 1.185
1.692 7.166 1.185
2.764 5.636 3.154
2.833 1.879 2.128
3.904 0.348 4.096
3.904 3.409 4.096
4.491 4.105 1.456
4.491 7.166 1.456
5.562 5.636 4.769